[1]
First-principles (GGA-PBE) data for a relaxed structure of Ba2In12Pd, as listed in Alexandria via LeMat-Bulk.

Lattice parameters (Å, degrees): 6.8696 6.8696 18.1247 90.00 90.00 90.00
Fractional positions:
Ba  0.5000  0.0000  0.2460
Ba  0.0000  0.5000  0.2460
Ba  0.0000  0.5000  0.7540
Ba  0.5000  0.0000  0.7540
In  0.5000  0.5000  0.8177
In  0.0000  0.0000  0.8177
In  0.7497  0.7503  0.9168
In  0.2497  0.7497  0.9168
In  0.0000  0.0000  0.3409
In  0.2503  0.7503  0.0832
In  0.8273  0.3273  0.5697
In  0.5000  0.5000  0.3409
In  0.2503  0.2497  0.9168
In  0.7503  0.7497  0.0832
In  0.3273  0.1727  0.5697
In  0.6727  0.1727  0.4303
In  0.0000  0.0000  0.6591
In  0.1727  0.3273  0.4303
In  0.2497  0.2503  0.0832
In  0.8273  0.6727  0.4303
In  0.6727  0.8273  0.5697
In  0.0000  0.0000  0.1823
In  0.1727  0.6727  0.5697
In  0.5000  0.5000  0.6591
In  0.7503  0.2503  0.9168
In  0.5000  0.5000  0.1823
In  0.3273  0.8273  0.4303
In  0.7497  0.2497  0.0832
Pd  0.5000  0.0000  0.0000
Pd  0.0000  0.5000  0.0000

Summary:
The density of states at the Fermi level is 9.954 states/eV per cell. As for the crystal system: tetragonal.

---

[2]
First-principles (GGA-PBE) data for a relaxed structure of BaIn3Pd, as listed in Alexandria via LeMat-Bulk.

Lattice parameters (Å, degrees): 6.3054 6.3054 6.3054 90.00 90.00 90.00
Fractional positions:
Ba  0.0000  0.0000  0.0000
Pd  0.5000  0.5000  0.5000
In  0.0000  0.5000  0.0000
In  0.0000  0.0000  0.5000
In  0.5000  0.0000  0.0000

Summary:
The density of states at the Fermi level is 7.413 states/eV per cell. As for the crystal system: cubic.

---

[3]
First-principles (GGA-PBE) data for a relaxed structure of Ba3In2Pd4, as listed in Alexandria via LeMat-Bulk.

Lattice parameters (Å, degrees): 4.6674 6.6366 9.3020 109.50 90.00 110.59
Fractional positions:
Ba  0.6261  0.2522  0.7038
Ba  0.0000  0.0000  0.0000
Ba  0.3739  0.7478  0.2962
In  0.6747  0.3494  0.3424
In  0.3253  0.6506  0.6576
Pd  0.7201  0.4402  0.0721
Pd  0.2799  0.5598  0.9279
Pd  0.9059  0.8117  0.5678
Pd  0.0941  0.1883  0.4322

Summary:
The density of states at the Fermi level is 5.046 states/eV per cell. The energy above the most stable polymorph in this dataset is 39 meV/atom. As for the crystal system: monoclinic.

---

DFT formation energy
In order: -0.297 1.181 -0.556
Unit: eV/atom